Entry 1:
LaSmSc2: relaxed, PBE.

Computed properties:
Total moment, μB/cell: 0.0
DFT formation energy, eV per atom: 0.073

Cell lengths 7.8106, 7.8106, 7.8106 Å; angles 90.00, 90.00, 90.00 degrees
Space group Fm-3m (No. 225)
Symmetry-distinct sites (fractional):
La  0.0000  0.0000  0.0000
Sm  0.0000  0.0000  0.5000
Sc  0.2500  0.2500  0.2500

=====

Entry 2:
Y2Zn5Au3: relaxed, PBE.

Computed properties:
Total moment, μB/cell: 0.0
DFT formation energy, eV per atom: -0.473

Cell lengths 11.3395, 11.9165, 5.7397 Å; angles 90.00, 90.00, 90.00 degrees
Space group Ibam (No. 72)
Symmetry-distinct sites (fractional):
Y  0.1251  0.2415  0.0000
Zn  0.0000  0.5000  0.2500
Zn  0.1337  0.1341  0.5000
Zn  0.2433  0.5000  0.2500
Au  0.0000  0.0000  0.2500
Au  0.1199  0.3482  0.5000

=====

Entry 3:
NaSrInHg: relaxed, PBE.

Computed properties:
Total moment, μB/cell: 0.0
DFT formation energy, eV per atom: -0.289

Cell lengths 5.4910, 5.4910, 7.9176 Å; angles 90.00, 90.00, 90.00 degrees
Space group I-4m2 (No. 119)
Symmetry-distinct sites (fractional):
Na  0.0000  0.0000  0.0000
Sr  0.0000  0.0000  0.5000
In  0.0000  0.5000  0.7500
Hg  0.0000  0.5000  0.2500

=====

Entry 4:
Pm5Ho2Er3: relaxed, PBE.

Computed properties:
Total moment, μB/cell: 0.0
DFT formation energy, eV per atom: 0.187

Cell lengths 10.6647, 14.9175, 9.9214 Å; angles 90.00, 122.48, 90.00 degrees
Space group C2/c (No. 15)
Symmetry-distinct sites (fractional):
Pm  0.0000  0.0195  0.2500
Pm  0.0000  0.2282  0.2500
Pm  0.0000  0.4785  0.7500
Pm  0.2452  0.3696  0.2390
Ho  0.1503  0.1288  0.0554
Er  0.0000  0.2740  0.7500
Er  0.1548  0.3747  0.5561

=====

Entry 5:
TlTc2HO8: relaxed, PBE.

Computed properties:
Total moment, μB/cell: 0.0
E, eV/atom: -6.5529

Cell lengths 12.4951, 5.1668, 7.8738 Å; angles 90.00, 122.69, 90.00 degrees
Space group C2/m (No. 12)
Symmetry-distinct sites (fractional):
Tl  0.0000  0.0000  0.0000
Tc  0.1828  0.0000  0.6468
H  0.0000  0.5000  0.5000
O  0.1049  0.2724  0.6620
O  0.1592  0.5000  0.1509
O  0.1726  0.0000  0.4180

=====

Entry 6:
La2TcHg: relaxed, PBE.

Computed properties:
Total moment, μB/cell: 0.0
DFT formation energy, eV per atom: 0.076

Cell lengths 8.2465, 8.2465, 6.3231 Å; angles 90.00, 90.00, 90.00 degrees
Space group I-42d (No. 122)
Symmetry-distinct sites (fractional):
La  0.1904  0.2500  0.1250
Tc  0.0000  0.0000  0.0000
Hg  0.0000  0.0000  0.5000

=====

Entry 7:
La2RhCF: relaxed, PBE.

Computed properties:
Total moment, μB/cell: 0.0
Formation energy (no corrections), eV/atom: -0.1342

Cell lengths 4.9374, 4.9374, 4.0751 Å; angles 90.00, 90.00, 90.00 degrees
Space group P4/mmm (No. 123)
Symmetry-distinct sites (fractional):
La  0.0000  0.5000  0.0000
Rh  0.0000  0.0000  0.5000
C  0.5000  0.5000  0.5000
F  0.0000  0.0000  0.0000

=====

Entry 8:
NaLiHg2: relaxed, PBE.

Computed properties:
Total moment, μB/cell: 0.0
DFT formation energy, eV per atom: -0.111

Cell lengths 4.6320, 4.6320, 19.7659 Å; angles 90.00, 90.00, 90.00 degrees
Space group I-42d (No. 122)
Symmetry-distinct sites (fractional):
Na  0.0000  0.0000  0.0000
Li  0.0000  0.0000  0.5000
Hg  0.2229  0.2500  0.6250

=====

Entry 9:
BiPt2Pb8: relaxed, PBE.

Computed properties:
Total moment, μB/cell: 0.0
DFT formation energy, eV per atom: -0.077

Cell lengths 8.9265, 13.0644, 5.5834 Å; angles 90.00, 102.40, 90.00 degrees
Space group C2/m (No. 12)
Symmetry-distinct sites (fractional):
Bi  0.0000  0.0000  0.0000
Pt  0.0000  0.3211  0.5000
Pb  0.0000  0.2535  0.0000
Pb  0.1142  0.5000  0.7975
Pb  0.1989  0.1325  0.6054

=====

Entry 10:
Mg3HgPb: relaxed, PBE.

Computed properties:
Total moment, μB/cell: 0.0
DFT formation energy, eV per atom: 0.128

Cell lengths 5.2337, 5.2337, 5.2337 Å; angles 90.00, 90.00, 90.00 degrees
Space group Pm-3m (No. 221)
Symmetry-distinct sites (fractional):
Mg  0.0000  0.0000  0.5000
Hg  0.0000  0.0000  0.0000
Pb  0.5000  0.5000  0.5000

=====

Entry 11:
K3VAu: relaxed, PBE.

Computed properties:
Total moment, μB/cell: 4.9
DFT formation energy, eV per atom: 0.666

Cell lengths 6.2849, 6.2849, 6.2849 Å; angles 90.00, 90.00, 90.00 degrees
Space group Pm-3m (No. 221)
Symmetry-distinct sites (fractional):
K  0.0000  0.0000  0.5000
V  0.5000  0.5000  0.5000
Au  0.0000  0.0000  0.0000